No. 1
# Zr2NbIr9

Zr2NbIr9 after structural relaxation (PBE, Alexandria).

a b c (Å): 3.963 3.963 11.901
angles (deg): 90.00 90.00 90.00
Positions (direct):
1 Zr 0.000 0.000 0.167
2 Zr 0.000 0.000 0.833
3 Nb 0.000 0.000 0.500
4 Ir 0.000 0.500 0.000
5 Ir 0.000 0.500 0.339
6 Ir 0.000 0.500 0.661
7 Ir 0.500 0.000 0.000
8 Ir 0.500 0.000 0.339
9 Ir 0.500 0.000 0.661
10 Ir 0.500 0.500 0.169
11 Ir 0.500 0.500 0.500
12 Ir 0.500 0.500 0.831

Theoretical density (g/cm³): 17.81
Space group: P4/mmm (123)
Magnetization (μB/atom): 0.000

=====

No. 2
# ZrNbIr2

ZrNbIr2 after structural relaxation (PBE, Alexandria).

a b c (Å): 2.984 2.984 7.652
angles (deg): 90.00 90.00 90.00
Positions (direct):
1 Zr 0.000 0.000 0.000
2 Nb 0.000 0.000 0.500
3 Ir 0.500 0.500 0.264
4 Ir 0.500 0.500 0.736

Theoretical density (g/cm³): 13.86
Offset from the most stable computed form (meV per atom): 0.0
Space group: P4/mmm (123)
Magnetization (μB/atom): 0.000

=====

No. 3
# Zr6NbIr5

Zr6NbIr5 after structural relaxation (PBE, Alexandria).

a b c (Å): 4.667 6.711 7.390
angles (deg): 90.00 108.47 90.00
Positions (direct):
1 Zr 0.000 0.248 0.000
2 Zr 0.000 0.752 0.000
3 Zr 0.333 0.249 0.666
4 Zr 0.333 0.751 0.666
5 Zr 0.667 0.249 0.334
6 Zr 0.667 0.751 0.334
7 Nb 0.500 0.500 0.000
8 Ir 0.168 0.000 0.336
9 Ir 0.168 0.500 0.336
10 Ir 0.500 0.000 0.000
11 Ir 0.832 0.000 0.664
12 Ir 0.832 0.500 0.664

Theoretical density (g/cm³): 12.11
Space group: P2/m (10)
Magnetization (μB/atom): 0.000

=====

No. 4
# ZrNbIr2

ZrNbIr2 after structural relaxation (PBE, Alexandria).

a b c (Å): 4.616 4.616 4.616
angles (deg): 60.00 60.00 60.00
Positions (direct):
1 Zr 0.000 0.000 0.000
2 Nb 0.500 0.500 0.500
3 Ir 0.250 0.250 0.250
4 Ir 0.750 0.750 0.750

Theoretical density (g/cm³): 13.57
Offset from the most stable computed form (meV per atom): 151.3
Space group: Fm-3m (225)
Magnetization (μB/atom): 0.000

=====

No. 5
# ZrNb3Ir

ZrNb3Ir after structural relaxation (PBE, Alexandria).

a b c (Å): 4.873 4.873 4.873
angles (deg): 90.00 90.00 90.00
Positions (direct):
1 Zr 0.000 0.000 0.000
2 Nb 0.000 0.500 0.500
3 Nb 0.500 0.000 0.500
4 Nb 0.500 0.500 0.000
5 Ir 0.500 0.500 0.500

Theoretical density (g/cm³): 8.07
Offset from the most stable computed form (meV per atom): 0.0
Space group: Pm-3m (221)
Magnetization (μB/atom): 0.000

=====

No. 6
# ZrNb2Ir2

ZrNb2Ir2 after structural relaxation (PBE, Alexandria).

a b c (Å): 7.714 7.714 3.010
angles (deg): 90.00 90.00 90.00
Positions (direct):
1 Zr 0.000 0.000 0.000
2 Zr 0.500 0.500 0.000
3 Nb 0.166 0.334 0.500
4 Nb 0.334 0.834 0.500
5 Nb 0.666 0.166 0.500
6 Nb 0.834 0.666 0.500
7 Ir 0.130 0.630 0.000
8 Ir 0.370 0.130 0.000
9 Ir 0.630 0.870 0.000
10 Ir 0.870 0.370 0.000

Theoretical density (g/cm³): 12.26
Offset from the most stable computed form (meV per atom): 0.0
Space group: P4/mbm (127)
Magnetization (μB/atom): 0.000

=====

DFT total energy per entry: -9.594, -9.683, -9.513, -9.532, -8.754, -9.701 eV/atom
Energy of formation per entry: -0.68, -0.60, -0.71, -0.45, 0.77, -0.42 eV per atom